Entry 1:
Here is crystalline Pr11Tl9Zn4 at its relaxed geometry from Alexandria via LeMat-Bulk. Energies are from PBE.

Values from the calculation:
energy = -3.64 eV/atom
space group = No. 65
spin magnetization = 0.00 Bohr magnetons per cell

Cell: 13.777 13.777 3.904 Å, 90.00 90.00 112.72°
Fractional positions:
Pr1 0.000 0.000 0.000
Pr2 0.072 0.414 0.000
Pr3 0.164 0.836 0.000
Pr4 0.296 0.296 0.000
Pr5 0.366 0.634 0.000
Pr6 0.414 0.072 0.000
Pr7 0.586 0.928 0.000
Pr8 0.634 0.366 0.000
Pr9 0.704 0.704 0.000
Pr10 0.836 0.164 0.000
Pr11 0.928 0.586 0.000
Tl1 0.067 0.215 0.500
Tl2 0.154 0.631 0.500
Tl3 0.215 0.067 0.500
Tl4 0.369 0.846 0.500
Tl5 0.500 0.500 0.500
Tl6 0.631 0.154 0.500
Tl7 0.785 0.933 0.500
Tl8 0.846 0.369 0.500
Tl9 0.933 0.785 0.500
Zn1 0.256 0.451 0.500
Zn2 0.451 0.256 0.500
Zn3 0.549 0.744 0.500
Zn4 0.744 0.549 0.500

Entry 2:
Here is crystalline Zn2PSe at its relaxed geometry from Alexandria via LeMat-Bulk. Energies are from PBE.

Values from the calculation:
energy = -2.53 eV/atom
space group = No. 71
spin magnetization = 0.00 Bohr magnetons per cell
ΔE_f (raw) = 0.329 eV/atom

Cell: 6.310 6.310 6.310 Å, 156.06 134.68 51.89°
Fractional positions:
Zn1 0.218 0.218 0.000
Zn2 0.782 0.782 0.000
P1 0.000 0.500 0.500
Se1 0.500 0.000 0.500

Entry 3:
Here is crystalline Sm3Mg5Ir2 at its relaxed geometry from Alexandria via LeMat-Bulk. Energies are from PBE.

Values from the calculation:
energy = -4.23 eV/atom
space group = No. 72
spin magnetization = 0.00 Bohr magnetons per cell

Cell: 9.405 9.405 9.405 Å, 99.21 93.42 141.28°
Fractional positions:
Sm1 0.167 0.244 0.410
Sm2 0.250 0.250 0.000
Sm3 0.333 0.744 0.077
Sm4 0.667 0.256 0.923
Sm5 0.750 0.750 0.000
Sm6 0.833 0.756 0.590
Mg1 0.017 0.750 0.267
Mg2 0.078 0.678 0.756
Mg3 0.250 0.750 0.500
Mg4 0.422 0.178 0.600
Mg5 0.483 0.750 0.733
Mg6 0.517 0.250 0.267
Mg7 0.578 0.822 0.400
Mg8 0.750 0.250 0.500
Mg9 0.922 0.322 0.244
Mg10 0.983 0.250 0.733
Ir1 0.152 0.871 0.023
Ir2 0.348 0.371 0.718
Ir3 0.652 0.629 0.282
Ir4 0.848 0.129 0.977